No. 1
Here is crystalline AgTeNF2 at its relaxed geometry from Alexandria. Energies are from PBE-GGA.

a = 4.159 Å, b = 4.159 Å, c = 4.559 Å
α = 90.00°, β = 90.00°, γ = 90.00°
Positions (direct):
Ag  0.000  0.000  0.000
Te  0.500  0.500  0.500
N  0.000  0.000  0.500
F  0.000  0.500  0.000
F  0.500  0.000  0.000

Values from the calculation:
Raw total energy, eV/atom: -3.32
ΔE_f (raw), meV/atom: 288
Density of states at the Fermi level, states/eV per cell: 3.571
Offset from the most stable computed form, meV per atom: 513

=====

No. 2
Here is crystalline Sm4Al3Ga at its relaxed geometry from Alexandria. Energies are from PBE-GGA.

a = 3.672 Å, b = 3.672 Å, c = 14.707 Å
α = 90.00°, β = 90.00°, γ = 90.00°
Positions (direct):
Sm  0.000  0.000  0.123
Sm  0.000  0.000  0.375
Sm  0.000  0.000  0.625
Sm  0.000  0.000  0.877
Al  0.500  0.500  0.250
Al  0.500  0.500  0.500
Al  0.500  0.500  0.750
Ga  0.500  0.500  0.000

Values from the calculation:
Energy of formation from the pure elements, eV/atom: -0.422
Raw total energy, eV/atom: -4.56
Density of states at the Fermi level, states/eV per cell: 3.480